Compound: Dy2TmCu
Source: the Alexandria database
Functional: PBE-GGA
Structure: optimized geometry

Results
E above lowest polymorph	0.021	eV per atom
total moment	0.0000	μB/atom
energy relative to the elements	-9	kJ per mole of atoms
DOS at the Fermi energy	5.41	states/eV/cell

a b c (Å): 3.4788 3.4788 8.6005
angles (deg): 90.00 90.00 90.00
With the nearest neighbours (Å) after each atom.
Positions (direct):
1 Dy 0.0000 0.0000 0.2009  4 Cu 3.01
2 Dy 0.0000 0.0000 0.7991  4 Cu 3.01
3 Tm 0.5000 0.5000 0.5000  4 Tm 3.48, 8 Dy 3.56
4 Cu 0.5000 0.5000 0.0000  8 Dy 3.01